An optimized crystal structure of Ti2BeFe, computed with GGA-PBE.

a b c (Å): 5.308 5.308 5.308
angles (deg): 102.67 102.67 124.14
Sites, in units of the cell vectors:
1 Ti 0.097 0.625 0.972
2 Ti 0.375 0.347 0.472
3 Ti 0.653 0.125 0.028
4 Ti 0.875 0.903 0.528
5 Be 0.250 0.750 0.500
6 Be 0.500 0.500 0.000
7 Fe 0.000 0.000 0.000
8 Fe 0.750 0.250 0.500

Output
Space group: No. 122
Formation energy from the elements: 0.257 eV/atom
M_tot: 0.00 μB/atom



An optimized crystal structure of TbY3In, computed with GGA-PBE.

a b c (Å): 8.534 8.534 8.534
angles (deg): 49.44 49.44 49.44
Sites, in units of the cell vectors:
1 Tb 0.087 0.087 0.087
2 Tb 0.913 0.913 0.913
3 Y 0.104 0.610 0.610
4 Y 0.390 0.390 0.896
5 Y 0.390 0.896 0.390
6 Y 0.610 0.104 0.610
7 Y 0.610 0.610 0.104
8 Y 0.896 0.390 0.390
9 In 0.334 0.334 0.334
10 In 0.666 0.666 0.666

Output
Offset from the most stable computed form: 0.97 eV per formula unit
Space group: No. 166
Formation energy from the elements: 0.006 eV/atom
M_tot: 0.14 μB/atom



An optimized crystal structure of Ta3OsI, computed with GGA-PBE.

a b c (Å): 4.871 4.871 4.871
angles (deg): 90.00 90.00 90.00
Sites, in units of the cell vectors:
1 Ta 0.000 0.000 0.500
2 Ta 0.000 0.500 0.000
3 Ta 0.500 0.000 0.000
4 Os 0.500 0.500 0.500
5 I 0.000 0.000 0.000

Output
Raw formation energy: 13.12 eV per formula unit
Offset from the most stable computed form: 6.68 eV per formula unit
Space group: No. 221
M_tot: 0.00 μB/atom